Entry 1:
Density functional theory data (PBE) for a relaxed AlFe2Ni crystal.

E_tot, eV per atom: -6.862
ρ, g/cm³: 6.93
ΔE_f, eV per atom: -0.249
Crystal system: tetragonal

abc: 2.905 2.905 5.602
angles: 90.00 90.00 90.00
Space group P4mm (No. 99)
One atom of each set of equivalent atoms:
Al 0.000 0.000 0.000
Fe 0.000 0.000 0.490
Fe 0.500 0.500 0.259
Ni 0.500 0.500 0.747

---

Entry 2:
Density functional theory data (PBE) for a relaxed AlFe2Ni crystal.

E_tot, eV per atom: -6.795
ρ, g/cm³: 6.83
ΔE_f, eV per atom: -0.183
Crystal system: orthorhombic

abc: 3.712 3.721 6.953
angles: 90.00 90.00 90.00
Space group Cmm2 (No. 35)
One atom of each set of equivalent atoms:
Al 0.000 0.000 0.000
Fe 0.000 0.000 0.484
Fe 0.000 0.500 0.745
Ni 0.000 0.500 0.240

---

Entry 3:
Density functional theory data (PBE) for a relaxed Al2Fe2Ni7 crystal.

E_tot, eV per atom: -6.076
ρ, g/cm³: 7.35
ΔE_f, eV per atom: -0.178
Crystal system: orthorhombic

abc: 3.832 10.845 6.266
angles: 90.00 90.00 90.00
Space group Imm2 (No. 44)
One atom of each set of equivalent atoms:
Al 0.000 0.206 0.000
Fe 0.000 0.000 0.795
Fe 0.000 0.500 0.978
Ni 0.000 0.000 0.192
Ni 0.000 0.145 0.493
Ni 0.000 0.348 0.706
Ni 0.000 0.355 0.283

---

Entry 4:
Density functional theory data (PBE) for a relaxed AlFeNi2 crystal.

E_tot, eV per atom: -6.211
ρ, g/cm³: 7.16
ΔE_f, eV per atom: -0.269
Crystal system: cubic

abc: 5.705 5.705 5.705
angles: 90.00 90.00 90.00
Space group F-43m (No. 216)
One atom of each set of equivalent atoms:
Al 0.000 0.000 0.000
Fe 0.250 0.250 0.750
Ni 0.000 0.000 0.500
Ni 0.250 0.250 0.250

---

Entry 5:
Density functional theory data (PBE) for a relaxed AlFeNi crystal.

E_tot, eV per atom: -6.059
ρ, g/cm³: 5.49
ΔE_f, eV per atom: -0.064
Crystal system: cubic

abc: 5.554 5.554 5.554
angles: 90.00 90.00 90.00
Space group F-43m (No. 216)
One atom of each set of equivalent atoms:
Al 0.000 0.000 0.000
Fe 0.000 0.000 0.500
Ni 0.250 0.250 0.250

---

Entry 6:
Density functional theory data (PBE) for a relaxed AlFe4Ni crystal.

E_tot, eV per atom: -7.323
ρ, g/cm³: 7.23
ΔE_f, eV per atom: -0.093
Crystal system: tetragonal

abc: 2.921 2.921 8.319
angles: 90.00 90.00 90.00
Space group P4/mmm (No. 123)
One atom of each set of equivalent atoms:
Al 0.000 0.000 0.000
Fe 0.000 0.000 0.330
Fe 0.500 0.500 0.175
Ni 0.500 0.500 0.500

---

Entry 7:
Density functional theory data (PBE) for a relaxed AlFe2Ni crystal.

E_tot, eV per atom: -6.385
ρ, g/cm³: 6.20
ΔE_f, eV per atom: 0.227
Crystal system: tetragonal

abc: 6.569 6.569 4.898
angles: 90.00 90.00 90.00
Space group I-42d (No. 122)
One atom of each set of equivalent atoms:
Al 0.000 0.000 0.000
Fe 0.230 0.250 0.625
Ni 0.000 0.000 0.500

---

Entry 8:
Density functional theory data (PBE) for a relaxed AlFe2Ni crystal.

E_tot, eV per atom: -6.785
ρ, g/cm³: 6.87
ΔE_f, eV per atom: -0.172
Crystal system: monoclinic

abc: 4.983 7.452 2.571
angles: 90.00 90.25 90.00
Space group C2/m (No. 12)
One atom of each set of equivalent atoms:
Al 0.000 0.000 0.000
Fe 0.250 0.250 0.500
Ni 0.000 0.500 0.000

---

Question: Among the records above, which one has the lowest ΔE_f?
Answer: AlFeNi2